a:
Entry from Alexandria: a relaxed structure of Zr2ReBr (PBE-GGA).

The volume is 78.7 Å³/cell. The value obtained for the size of the total moment is 0.0 μB/cell. As for the space group: Fm-3m, No. 225.

a b c (Å): 4.8093 4.8093 4.8093
angles (deg): 60.00 60.00 60.00
Closest atoms and distances in Å follow each position.
Fractional positions:
Zr1 0.2500 0.2500 0.2500  4 Br 2.95, 4 Re 2.95
Zr2 0.7500 0.7500 0.7500  4 Re 2.95, 4 Br 2.95
Re1 0.0000 0.0000 0.0000  8 Zr 2.95
Br1 0.5000 0.5000 0.5000  8 Zr 2.95

=====

b:
Entry from Alexandria: a relaxed structure of Zr2ReBr (PBE-GGA).

The volume is 89.0 Å³/cell. The value obtained for the size of the total moment is 0.0 μB/cell. As for the space group: Imm2, No. 44.

a b c (Å): 8.1375 8.1375 8.1375
angles (deg): 156.31 155.70 34.20
Closest atoms and distances in Å follow each position.
Fractional positions:
Zr1 0.0000 0.0000 0.0000  4 Re 2.74
Zr2 0.7849 0.2849 0.5000  2 Re 2.65
Re1 0.4147 0.4147 0.0000  6 Zr 2.65-2.74
Br1 0.1655 0.6655 0.5000  6 Zr 3.03-3.07, 2 Br 3.34

=====

The calculated energies rank the structures as follows, beginning with the most stable: b, a.

=====

a:
Entry from Alexandria: a relaxed structure of Zr2ReBr (PBE-GGA).

The volume is 84.6 Å³/cell. The value obtained for the size of the total moment is 0.0 μB/cell. As for the space group: R-3m, No. 166.

a b c (Å): 8.6398 8.6398 8.6398
angles (deg): 22.74 22.74 22.74
Closest atoms and distances in Å follow each position.
Fractional positions:
Zr1 0.2407 0.2407 0.2407  3 Re 2.71
Zr2 0.7593 0.7593 0.7593  3 Re 2.71
Re1 0.5000 0.5000 0.5000  6 Zr 2.71
Br1 0.0000 0.0000 0.0000  6 Zr 3.06, 6 Br 3.41

=====

b:
Entry from Alexandria: a relaxed structure of Zr2ReBr (PBE-GGA).

The volume is 80.3 Å³/cell. The value obtained for the size of the total moment is 0.0 μB/cell. As for the space group: Pm, No. 6.

a b c (Å): 3.2372 4.9585 5.0743
angles (deg): 90.00 99.77 90.00
Closest atoms and distances in Å follow each position.
Fractional positions:
Zr1 0.0000 0.0000 0.0000  2 Re 2.62-2.92, 2 Br 2.71
Zr2 0.0090 0.5000 0.5183  3 Br 2.74-2.89, 4 Re 2.88-3.05
Re1 0.5560 0.0000 0.5185  4 Zr 2.62-2.92
Br1 0.3452 0.5000 0.0584  5 Zr 2.71-2.89

=====

c:
Entry from Alexandria: a relaxed structure of Zr2ReBr (PBE-GGA).

The volume is 79.9 Å³/cell. The value obtained for the size of the total moment is 0.0 μB/cell. As for the space group: Immm, No. 71.

a b c (Å): 4.9712 4.9712 4.9712
angles (deg): 130.18 117.39 83.95
Closest atoms and distances in Å follow each position.
Fractional positions:
Zr1 0.2399 0.2399 0.0000  2 Re 2.74, 2 Br 2.84
Zr2 0.7601 0.7601 0.0000  2 Re 2.74, 2 Br 2.84
Re1 0.0000 0.5000 0.5000  4 Zr 2.74
Br1 0.5000 0.0000 0.5000  8 Zr 2.84-3.13

=====

The calculated energies rank the structures as follows, beginning with the most stable: a, b, c.

=====

a:
Entry from Alexandria: a relaxed structure of Zr2ReBr (PBE-GGA).

The volume is 228.8 Å³/cell. The value obtained for the size of the total moment is 0.0 μB/cell. As for the space group: I-42d, No. 122.

a b c (Å): 7.8907 7.8907 7.8907
angles (deg): 136.62 136.62 63.02
Closest atoms and distances in Å follow each position.
Fractional positions:
Zr1 0.0768 0.6250 0.9518  2 Re 2.52
Zr2 0.3750 0.3268 0.4518  2 Re 2.52
Zr3 0.6732 0.1250 0.0482  2 Re 2.52
Zr4 0.8750 0.9232 0.5482  2 Re 2.52
Re1 0.0000 0.0000 0.0000  4 Zr 2.52
Re2 0.7500 0.2500 0.5000  4 Zr 2.52
Br1 0.2500 0.7500 0.5000  4 Zr 2.82
Br2 0.5000 0.5000 0.0000  4 Zr 2.82

=====

b:
Entry from Alexandria: a relaxed structure of Zr2ReBr (PBE-GGA).

The volume is 91.1 Å³/cell. The value obtained for the size of the total moment is 0.0 μB/cell. As for the space group: P4mm, No. 99.

a b c (Å): 3.7653 3.7653 6.4290
angles (deg): 90.00 90.00 90.00
Closest atoms and distances in Å follow each position.
Fractional positions:
Zr1 0.0000 0.0000 0.0000  4 Re 2.70
Zr2 0.5000 0.5000 0.3169  1 Re 2.50
Re1 0.5000 0.5000 0.9275  5 Zr 2.50-2.70
Br1 0.0000 0.0000 0.5279  5 Zr 2.99-3.04

=====

The calculated energies rank the structures as follows, beginning with the most stable: b, a.

=====

a:
Entry from Alexandria: a relaxed structure of Zr2ReBr (PBE-GGA).

The volume is 84.5 Å³/cell. The value obtained for the size of the total moment is 0.0 μB/cell. As for the space group: Cmmm, No. 65.

a b c (Å): 3.2601 3.2601 7.9489
angles (deg): 90.00 90.00 90.12
Closest atoms and distances in Å follow each position.
Fractional positions:
Zr1 0.0000 0.0000 0.2037  4 Re 2.82
Zr2 0.0000 0.0000 0.7963  4 Re 2.82
Re1 0.5000 0.5000 0.0000  8 Zr 2.82
Br1 0.5000 0.5000 0.5000  4 Br 3.26, 8 Zr 3.29-3.30

=====

b:
Entry from Alexandria: a relaxed structure of Zr2ReBr (PBE-GGA).

The volume is 81.8 Å³/cell. The value obtained for the size of the total moment is 0.0 μB/cell. As for the space group: P2/m, No. 10.

a b c (Å): 4.6508 3.1866 5.5194
angles (deg): 90.00 90.30 90.00
Closest atoms and distances in Å follow each position.
Fractional positions:
Zr1 0.0000 0.0000 0.0000  2 Re 2.76, 4 Br 2.82
Zr2 0.5000 0.5000 0.5000  2 Br 2.76, 4 Re 2.82
Re1 0.0000 0.0000 0.5000  6 Zr 2.76-2.82
Br1 0.5000 0.5000 0.0000  6 Zr 2.76-2.82

=====

The calculated energies rank the structures as follows, beginning with the most stable: a, b.